No. 1
# K2HfInOs (PBE, relaxed)
data_K2HfInOs
_space_group_name_H-M_alt 'P 4/m m m'
_space_group_IT_number 123
_space_group_name_Hall '-P 4 2'
_cell_length_a 6.026
_cell_length_b 6.026
_cell_length_c 5.572
_cell_angle_alpha 90.00
_cell_angle_beta 90.00
_cell_angle_gamma 90.00
loop_
_atom_site_label
_atom_site_fract_x
_atom_site_fract_y
_atom_site_fract_z
K1 0.000 0.500 0.000
Hf1 0.000 0.000 0.500
In1 0.000 0.000 0.000
Os1 0.500 0.500 0.500
# crystal system	tetragonal
# DFT formation energy	1.99	eV per atom

=====

No. 2
# K2HfInPt (PBE, relaxed)
data_K2HfInPt
_space_group_name_H-M_alt 'P 4/m m m'
_space_group_IT_number 123
_space_group_name_Hall '-P 4 2'
_cell_length_a 6.765
_cell_length_b 6.765
_cell_length_c 4.822
_cell_angle_alpha 90.00
_cell_angle_beta 90.00
_cell_angle_gamma 90.00
loop_
_atom_site_label
_atom_site_fract_x
_atom_site_fract_y
_atom_site_fract_z
K1 0.000 0.500 0.000
Hf1 0.000 0.000 0.000
In1 0.500 0.500 0.500
Pt1 0.000 0.000 0.500
# crystal system	tetragonal
# DFT formation energy	0.75	eV per atom

=====

No. 3
# KHfInRu2 (PBE, relaxed)
data_KHfInRu2
_space_group_name_H-M_alt 'P 4/m m m'
_space_group_IT_number 123
_space_group_name_Hall '-P 4 2'
_cell_length_a 4.585
_cell_length_b 4.585
_cell_length_c 5.108
_cell_angle_alpha 90.00
_cell_angle_beta 90.00
_cell_angle_gamma 90.00
loop_
_atom_site_label
_atom_site_fract_x
_atom_site_fract_y
_atom_site_fract_z
K1 0.000 0.000 0.000
Hf1 0.500 0.500 0.500
In1 0.000 0.000 0.500
Ru1 0.000 0.500 0.000
# crystal system	tetragonal
# DFT formation energy	2.14	eV per atom

=====

No. 4
# K2HfInS4 (PBE, relaxed)
data_K2HfInS4
_space_group_name_H-M_alt 'P 1 2/m 1'
_space_group_IT_number 10
_space_group_name_Hall '-P 2y'
_cell_length_a 7.048
_cell_length_b 3.866
_cell_length_c 7.551
_cell_angle_alpha 90.00
_cell_angle_beta 106.82
_cell_angle_gamma 90.00
loop_
_atom_site_label
_atom_site_fract_x
_atom_site_fract_y
_atom_site_fract_z
K1 0.000 0.000 0.000
K2 0.500 0.500 0.000
Hf1 0.000 0.500 0.500
In1 0.500 0.000 0.500
S1 0.214 0.000 0.694
S2 0.244 0.500 0.307
# crystal system	monoclinic
# formation energy without anion corrections	-1.20	eV/atom

=====

| no. | magnetic moment (μB/cell) |
| --- | --- |
| 1 | 2.01 |
| 2 | 0.00 |
| 3 | 0.00 |
| 4 | 0.00 |